(1)
Density functional theory data (GGA-PBE) for a geometry-optimized Tm2BeIr3 structure.

Lattice parameters (Å, degrees): 4.9753 4.9753 4.9753 66.83 66.83 66.83
Fractional positions:
Tm 0.3723 0.3723 0.3723
Tm 0.6277 0.6277 0.6277
Be 0.0000 0.0000 0.0000
Ir 0.0000 0.0000 0.5000
Ir 0.5000 0.0000 0.0000
Ir 0.0000 0.5000 0.0000

Calculated values
- energy of formation from the pure elements (eV per atom) = -0.813
- space-group type = R-3m
- total magnetic moment (μB per formula unit) = 0.0
- mass density (kg/m³) = 15359
- V (Å³ per cell) = 100
- DOS(E_F) (states/eV/atom) = 0.52

=====

(2)
Density functional theory data (GGA-PBE) for a geometry-optimized TmBeIr2 structure.

Lattice parameters (Å, degrees): 3.1111 3.1111 6.2971 90.00 90.00 90.00
Fractional positions:
Be 0.5000 0.5000 0.0000
Ir 0.0000 0.0000 0.7904
Ir 0.0000 0.0000 0.2096
Tm 0.5000 0.5000 0.5000

Calculated values
- energy of formation from the pure elements (eV per atom) = -0.539
- space-group type = P4/mmm
- total magnetic moment (μB per formula unit) = 0.0
- mass density (kg/m³) = 15322
- V (Å³ per cell) = 61
- DOS(E_F) (states/eV/atom) = 0.35